No. 1
# Li2Mg2IrPtPb2, relaxed, DFT PBE
# VASP energy: -4.02 eV per atom
# size of the total moment: 0.0 μB/cell
data_Li2Mg2IrPtPb2
_symmetry_space_group_name_H-M 'P -4 m 2'
_symmetry_Int_Tables_number 115
_cell_length_a 4.665
_cell_length_b 4.665
_cell_length_c 6.610
_cell_angle_alpha 90.00
_cell_angle_beta 90.00
_cell_angle_gamma 90.00
loop_
_symmetry_equiv_pos_as_xyz
'x,y,z'
'y,-x,-z'
'-x,-y,z'
'-y,x,-z'
'-x,y,z'
'-y,-x,-z'
'x,-y,z'
'y,x,-z'
loop_
_atom_site_label
_atom_site_fract_x
_atom_site_fract_y
_atom_site_fract_z
_atom_site_occupancy
Li1 0.000 0.000 0.000 1
Li2 0.500 0.500 0.500 1
Mg1 0.000 0.500 0.248 1
Ir1 0.500 0.500 0.000 1
Pt1 0.000 0.000 0.500 1
Pb1 0.000 0.500 0.757 1

***

No. 2
# NbInS3, relaxed, DFT PBE
# VASP energy: -5.76 eV per atom
# size of the total moment: 0.0 μB/cell
data_NbInS3
_symmetry_space_group_name_H-M 'P n m a'
_symmetry_Int_Tables_number 62
_cell_length_a 10.951
_cell_length_b 3.509
_cell_length_c 10.830
_cell_angle_alpha 90.00
_cell_angle_beta 90.00
_cell_angle_gamma 90.00
loop_
_symmetry_equiv_pos_as_xyz
'x,y,z'
'-x,-y,-z'
'-x+1/2,-y,z+1/2'
'x+1/2,y,-z+1/2'
'x+1/2,-y+1/2,-z+1/2'
'-x+1/2,y+1/2,z+1/2'
'-x,y+1/2,-z'
'x,-y+1/2,z'
loop_
_atom_site_label
_atom_site_fract_x
_atom_site_fract_y
_atom_site_fract_z
_atom_site_occupancy
Nb1 0.025 0.250 0.113 1
In1 0.149 0.250 0.531 1
S1 0.015 0.750 0.645 1
S2 0.138 0.250 0.920 1
S3 0.176 0.750 0.183 1

***

No. 3
# LiLuPbSe3, relaxed, DFT PBE
# VASP energy: -4.70 eV per atom
# size of the total moment: 0.0 μB/cell
data_LiLuPbSe3
_symmetry_space_group_name_H-M 'C 1 2/m 1'
_symmetry_Int_Tables_number 12
_cell_length_a 17.485
_cell_length_b 4.055
_cell_length_c 8.651
_cell_angle_alpha 90.00
_cell_angle_beta 103.88
_cell_angle_gamma 90.00
loop_
_symmetry_equiv_pos_as_xyz
'x,y,z'
'-x,-y,-z'
'-x,y,-z'
'x,-y,z'
'x+1/2,y+1/2,z'
'-x+1/2,-y+1/2,-z'
'-x+1/2,y+1/2,-z'
'x+1/2,-y+1/2,z'
loop_
_atom_site_label
_atom_site_fract_x
_atom_site_fract_y
_atom_site_fract_z
_atom_site_occupancy
Li1 0.005 0.000 0.198 1
Lu1 0.165 0.500 0.085 1
Pb1 0.134 0.500 0.565 1
Se1 0.000 0.000 0.500 1
Se2 0.000 0.500 0.000 1
Se3 0.169 0.000 0.859 1
Se4 0.174 0.000 0.312 1

***

No. 4
# ZrTlSn, relaxed, DFT PBE
# VASP energy: -4.57 eV per atom
# size of the total moment: 2.1 μB/cell
data_ZrTlSn
_symmetry_space_group_name_H-M 'F -4 3 m'
_symmetry_Int_Tables_number 216
_symmetry_space_group_name_Hall 'F -4 2 3'
_cell_length_a 7.022
_cell_length_b 7.022
_cell_length_c 7.022
_cell_angle_alpha 90.00
_cell_angle_beta 90.00
_cell_angle_gamma 90.00
loop_
_atom_site_label
_atom_site_fract_x
_atom_site_fract_y
_atom_site_fract_z
_atom_site_occupancy
Zr1 0.000 0.000 0.000 1
Tl1 0.000 0.000 0.500 1
Sn1 0.250 0.250 0.750 1

***

No. 5
# RbGe5Ir3, relaxed, DFT PBE
# VASP energy: -5.66 eV per atom
# size of the total moment: 0.0 μB/cell
data_RbGe5Ir3
_symmetry_space_group_name_H-M 'P 6/m m m'
_symmetry_Int_Tables_number 191
_symmetry_space_group_name_Hall '-P 6 2'
_cell_length_a 5.4346
_cell_length_b 5.4346
_cell_length_c 8.2393
_cell_angle_alpha 90.00
_cell_angle_beta 90.00
_cell_angle_gamma 120.00
loop_
_atom_site_label
_atom_site_fract_x
_atom_site_fract_y
_atom_site_fract_z
_atom_site_occupancy
Rb1 0.0000 0.0000 0.0000 1
Ge1 0.0000 0.0000 0.5000 1
Ge2 0.3333 0.6667 0.2519 1
Ir1 0.0000 0.5000 0.5000 1

***

No. 6
# Ta2SiN, relaxed, DFT PBE
# VASP energy: -9.95 eV per atom
# size of the total moment: 0.0 μB/cell
data_Ta2SiN
_symmetry_space_group_name_H-M 'C 1 2/c 1'
_symmetry_Int_Tables_number 15
_cell_length_a 9.675
_cell_length_b 5.590
_cell_length_c 12.543
_cell_angle_alpha 90.00
_cell_angle_beta 104.95
_cell_angle_gamma 90.00
loop_
_symmetry_equiv_pos_as_xyz
'x,y,z'
'-x,-y,-z'
'-x,y,-z+1/2'
'x,-y,z+1/2'
'x+1/2,y+1/2,z'
'-x+1/2,-y+1/2,-z'
'-x+1/2,y+1/2,-z+1/2'
'x+1/2,-y+1/2,z+1/2'
loop_
_atom_site_label
_atom_site_fract_x
_atom_site_fract_y
_atom_site_fract_z
_atom_site_occupancy
Ta1 0.051 0.084 0.402 1
Ta2 0.115 0.417 0.595 1
Ta3 0.218 0.416 0.906 1
Si1 0.000 0.421 0.250 1
Si2 0.169 0.086 0.750 1
N1 0.082 0.246 0.000 1
N2 0.250 0.250 0.500 1

***

No. 7
# Fe2SnB3, relaxed, DFT PBE
# VASP energy: -6.59 eV per atom
# size of the total moment: 0.0 μB/cell
data_Fe2SnB3
_symmetry_space_group_name_H-M 'F m m 2'
_symmetry_Int_Tables_number 42
_symmetry_space_group_name_Hall 'F 2 -2'
_cell_length_a 5.252
_cell_length_b 8.182
_cell_length_c 5.657
_cell_angle_alpha 90.00
_cell_angle_beta 90.00
_cell_angle_gamma 90.00
loop_
_atom_site_label
_atom_site_fract_x
_atom_site_fract_y
_atom_site_fract_z
_atom_site_occupancy
Fe1 0.250 0.250 0.000 1
Sn1 0.000 0.000 0.343 1
B1 0.000 0.000 0.948 1
B2 0.000 0.158 0.754 1

***

No. 8
# La2TaZnO6, relaxed, DFT PBE
# VASP energy: -8.05 eV per atom
# size of the total moment: 2.0 μB/cell
data_La2TaZnO6
_symmetry_space_group_name_H-M 'P 1 21/c 1'
_symmetry_Int_Tables_number 14
_cell_length_a 5.674
_cell_length_b 5.715
_cell_length_c 9.769
_cell_angle_alpha 90.00
_cell_angle_beta 125.42
_cell_angle_gamma 90.00
loop_
_symmetry_equiv_pos_as_xyz
'x,y,z'
'-x,-y,-z'
'-x,y+1/2,-z+1/2'
'x,-y+1/2,z+1/2'
loop_
_atom_site_label
_atom_site_fract_x
_atom_site_fract_y
_atom_site_fract_z
_atom_site_occupancy
La1 0.242 0.061 0.252 1
Ta1 0.500 0.000 0.000 1
Zn1 0.000 0.000 0.500 1
O1 0.160 0.191 0.957 1
O2 0.247 0.709 0.945 1
O3 0.346 0.013 0.753 1